Entry 1:
VASP calculation (meta-GGA SCAN) on CdGaFe3 at its PBEsol-relaxed geometry.

```
CdGaFe3
1.0
4.682 0.000 0.000
0.000 4.682 0.000
0.000 0.000 4.682
Cd Ga Fe
1 1 3
Direct
0.000 0.000 0.000 Cd
0.500 0.500 0.500 Ga
0.000 0.000 0.500 Fe
0.000 0.500 0.000 Fe
0.500 0.000 0.000 Fe
```

Calculated density in g cm⁻³: 5.7
Calculated formation energy in eV/atom: 1.55

Entry 2:
VASP calculation (meta-GGA SCAN) on Mn4MoOs at its PBEsol-relaxed geometry.

```
Mn4MoOs
1.0
0.000 3.270 3.270
3.270 0.000 3.270
3.270 3.270 0.000
Mn Mo Os
4 1 1
Direct
0.376 0.376 0.376 Mn
0.376 0.376 0.871 Mn
0.376 0.871 0.376 Mn
0.871 0.376 0.376 Mn
0.000 0.000 0.000 Mo
0.750 0.750 0.750 Os
```

Calculated density in g cm⁻³: 12.0
Calculated formation energy in eV/atom: 0.02

Entry 3:
VASP calculation (meta-GGA SCAN) on Ba2Li3Y3Mo8O32 at its PBEsol-relaxed geometry.

```
Ba2Li3Y3Mo8O32
1.0
5.188 0.000 0.000
2.530 6.318 0.000
0.344 0.399 18.877
Ba Li Y Mo O
2 3 3 8 32
Direct
0.000 0.000 0.000 Ba
0.055 0.881 0.479 Ba
0.317 0.311 0.478 Li
0.749 0.568 0.003 Li
0.937 0.174 0.190 Li
0.170 0.650 0.269 Y
0.171 0.644 0.706 Y
0.891 0.230 0.771 Y
0.305 0.420 0.888 Mo
0.311 0.411 0.088 Mo
0.448 0.061 0.329 Mo
0.479 0.061 0.645 Mo
0.583 0.811 0.832 Mo
0.583 0.846 0.149 Mo
0.756 0.467 0.392 Mo
0.759 0.458 0.587 Mo
0.028 0.236 0.420 O
0.042 0.633 0.054 O
0.107 0.456 0.805 O
0.121 0.332 0.950 O
0.158 0.219 0.101 O
0.203 0.289 0.287 O
0.247 0.976 0.700 O
0.269 0.030 0.840 O
0.283 0.909 0.206 O
0.307 0.667 0.909 O
0.316 0.117 0.563 O
0.319 0.854 0.347 O
0.414 0.641 0.605 O
0.417 0.481 0.169 O
0.492 0.782 0.066 O
0.504 0.531 0.463 O
0.514 0.275 0.695 O
0.546 0.597 0.781 O
0.570 0.112 0.411 O
0.573 0.354 0.020 O
0.602 0.436 0.313 O
0.652 0.237 0.872 O
0.713 0.050 0.131 O
0.748 0.755 0.913 O
0.748 0.965 0.274 O
0.753 0.211 0.567 O
0.796 0.845 0.635 O
0.814 0.897 0.776 O
0.849 0.632 0.190 O
0.923 0.651 0.376 O
0.953 0.418 0.670 O
0.957 0.539 0.526 O
```

Calculated density in g cm⁻³: 4.9
E_form (uncorrected) in eV/f.u.: -128.00

Entry 4:
VASP calculation (meta-GGA SCAN) on CaMg2Br at its PBEsol-relaxed geometry.

```
CaMg2Br
1.0
3.524 0.000 0.000
0.000 4.935 0.000
0.000 0.000 6.332
Ca Mg Br
1 2 1
Direct
0.000 0.000 0.000 Ca
0.000 0.500 0.500 Mg
0.500 0.000 0.500 Mg
0.500 0.500 0.000 Br
```

Calculated density in g cm⁻³: 2.5
E_form (uncorrected) in eV/f.u.: -1.85

Entry 5:
VASP calculation (meta-GGA SCAN) on ZrSiAg3 at its PBEsol-relaxed geometry.

```
ZrSiAg3
1.0
5.080 0.000 0.000
0.000 5.080 0.000
0.000 0.000 5.080
Zr Si Ag
1 1 3
Direct
0.000 0.000 0.000 Zr
0.500 0.500 0.500 Si
0.000 0.000 0.500 Ag
0.000 0.500 0.000 Ag
0.500 0.000 0.000 Ag
```

Calculated density in g cm⁻³: 5.6
E_form (uncorrected) in eV/f.u.: 8.29

Entry 6:
VASP calculation (meta-GGA SCAN) on MgTiCu2Tc at its PBEsol-relaxed geometry.

```
MgTiCu2Tc
1.0
4.133 0.000 0.000
0.000 4.133 0.000
0.000 0.000 4.682
Mg Ti Cu Tc
1 1 2 1
Direct
0.000 0.000 0.000 Mg
0.000 0.000 0.500 Ti
0.000 0.500 0.000 Cu
0.500 0.000 0.000 Cu
0.500 0.500 0.500 Tc
```

Calculated density in g cm⁻³: 6.2
Calculated formation energy in eV/atom: 1.39

Entry 7:
VASP calculation (meta-GGA SCAN) on NdAl4 at its PBEsol-relaxed geometry.

```
NdAl4
1.0
-2.104 2.104 5.701
2.104 -2.104 5.701
2.104 2.104 -5.701
Nd Al
1 4
Direct
0.000 0.000 0.000 Nd
0.250 0.750 0.500 Al
0.390 0.390 0.000 Al
0.610 0.610 0.000 Al
0.750 0.250 0.500 Al
```

Calculated density in g cm⁻³: 4.1
Calculated formation energy in eV/atom: -0.33

Entry 8:
VASP calculation (meta-GGA SCAN) on BeReAs2 at its PBEsol-relaxed geometry.

```
BeReAs2
1.0
1.430 0.826 8.861
-1.430 0.826 8.861
0.000 -1.652 8.861
Be Re As
1 1 2
Direct
0.000 0.000 0.000 Be
0.264 0.264 0.264 Re
0.524 0.524 0.524 As
0.738 0.738 0.738 As
```

Calculated density in g cm⁻³: 9.1
Calculated formation energy in eV/atom: 0.30

Entry 9:
VASP calculation (meta-GGA SCAN) on ReAgBr2 at its PBEsol-relaxed geometry.

```
ReAgBr2
1.0
1.495 -2.792 0.000
1.495 2.792 0.000
0.000 0.000 9.843
Re Ag Br
1 1 2
Direct
0.000 0.000 0.000 Re
0.000 0.000 0.500 Ag
0.500 0.500 0.205 Br
0.500 0.500 0.795 Br
```

Calculated density in g cm⁻³: 9.2
Energy above the lowest structure with this stoichiometry in eV per atom: 0.0000
E_form (uncorrected) in eV/f.u.: 3.17

Entry 10:
VASP calculation (meta-GGA SCAN) on LiTlNi4 at its PBEsol-relaxed geometry.

```
LiTlNi4
1.0
0.000 3.367 3.367
3.367 0.000 3.367
3.367 3.367 0.000
Li Tl Ni
1 1 4
Direct
0.000 0.000 0.000 Li
0.250 0.250 0.250 Tl
0.124 0.625 0.625 Ni
0.625 0.124 0.625 Ni
0.625 0.625 0.124 Ni
0.625 0.625 0.625 Ni
```

Calculated density in g cm⁻³: 9.7
Calculated formation energy in eV/atom: 0.09

Entry 11:
VASP calculation (meta-GGA SCAN) on CuRh2 at its PBEsol-relaxed geometry.

```
CuRh2
1.0
0.000 2.801 2.801
2.801 0.000 2.801
2.801 2.801 0.000
Cu Rh
1 2
Direct
0.000 0.000 0.000 Cu
0.250 0.250 0.250 Rh
0.750 0.750 0.750 Rh
```

Calculated density in g cm⁻³: 10.2
Energy above the lowest structure with this stoichiometry in eV per atom: 0.5663
Calculated formation energy in eV/atom: 0.61

Entry 12:
VASP calculation (meta-GGA SCAN) on BeCrBr2 at its PBEsol-relaxed geometry.

```
BeCrBr2
1.0
3.459 0.000 0.000
0.000 3.794 0.000
0.000 0.000 6.136
Be Cr Br
1 1 2
Direct
0.000 0.000 0.000 Be
0.500 0.000 0.500 Cr
0.000 0.500 0.500 Br
0.500 0.500 0.000 Br
```

Calculated density in g cm⁻³: 4.6
Energy above the lowest structure with this stoichiometry in eV per atom: 0.4638
E_form (uncorrected) in eV/f.u.: 0.93

Entry 13:
VASP calculation (meta-GGA SCAN) on Y2Os3 at its PBEsol-relaxed geometry.

```
Y2Os3
1.0
3.951 0.000 0.000
-1.975 3.421 0.000
0.000 0.000 8.458
Y Os
2 3
Direct
0.333 0.667 0.310 Y
0.667 0.333 0.690 Y
0.000 0.000 0.500 Os
0.333 0.667 0.966 Os
0.667 0.333 0.034 Os
```

Calculated density in g cm⁻³: 10.9
Calculated formation energy in eV/atom: 0.25

Entry 14:
VASP calculation (meta-GGA SCAN) on ScBeTe2I at its PBEsol-relaxed geometry.

```
ScBeTe2I
1.0
5.499 0.000 0.000
0.000 5.499 0.000
0.000 0.000 5.521
Sc Be Te I
1 1 2 1
Direct
0.000 0.000 0.000 Sc
0.500 0.500 0.500 Be
0.000 0.500 0.000 Te
0.500 0.000 0.000 Te
0.000 0.000 0.500 I
```

Calculated density in g cm⁻³: 4.3
E_form (uncorrected) in eV/f.u.: 1.05

Entry 15:
VASP calculation (meta-GGA SCAN) on SbRuPt2 at its PBEsol-relaxed geometry.

```
SbRuPt2
1.0
3.027 0.000 0.000
0.000 3.027 0.000
0.000 0.000 7.017
Sb Ru Pt
1 1 2
Direct
0.000 0.000 0.000 Sb
0.500 0.500 0.756 Ru
0.000 0.000 0.519 Pt
0.500 0.500 0.266 Pt
```

Calculated density in g cm⁻³: 15.8
E_form (uncorrected) in eV/f.u.: 0.86

Entry 16:
VASP calculation (meta-GGA SCAN) on Cs5Te3 at its PBEsol-relaxed geometry.

```
Cs5Te3
1.0
-7.348 7.348 3.454
7.348 -7.348 3.454
7.348 7.348 -3.454
Cs Te
10 6
Direct
0.087 0.217 0.304 Cs
0.217 0.913 0.129 Cs
0.250 0.750 0.500 Cs
0.274 0.409 0.683 Cs
0.409 0.726 0.135 Cs
0.591 0.274 0.865 Cs
0.726 0.591 0.317 Cs
0.750 0.250 0.500 Cs
0.783 0.087 0.871 Cs
0.913 0.783 0.696 Cs
0.156 0.657 0.813 Te
0.297 0.297 0.000 Te
0.343 0.156 0.499 Te
0.657 0.844 0.501 Te
0.703 0.703 0.000 Te
0.844 0.343 0.187 Te
```

Calculated density in g cm⁻³: 4.7
E_form (uncorrected) in eV/f.u.: -9.26

Entry 17:
VASP calculation (meta-GGA SCAN) on PbAuSCl2 at its PBEsol-relaxed geometry.

```
PbAuSCl2
1.0
5.194 0.000 0.000
0.000 5.194 0.000
0.000 0.000 5.175
Pb Au S Cl
1 1 1 2
Direct
0.000 0.000 0.000 Pb
0.500 0.500 0.500 Au
0.000 0.000 0.500 S
0.000 0.500 0.000 Cl
0.500 0.000 0.000 Cl
```

Calculated density in g cm⁻³: 6.0
E_form (uncorrected) in eV/f.u.: 1.20

Entry 18:
VASP calculation (meta-GGA SCAN) on Ta3NbIr at its PBEsol-relaxed geometry.

```
Ta3NbIr
1.0
4.768 0.000 0.000
0.000 4.768 0.000
0.000 0.000 4.768
Ta Nb Ir
3 1 1
Direct
0.000 0.000 0.500 Ta
0.000 0.500 0.000 Ta
0.500 0.000 0.000 Ta
0.500 0.500 0.500 Nb
0.000 0.000 0.000 Ir
```

Calculated density in g cm⁻³: 12.7
Calculated formation energy in eV/atom: 1.06

Entry 19:
VASP calculation (meta-GGA SCAN) on Al7Ag2 at its PBEsol-relaxed geometry.

```
Al7Ag2
1.0
4.927 0.000 0.000
-2.464 4.267 0.000
0.000 0.000 6.938
Al Ag
7 2
Direct
0.000 0.000 0.000 Al
0.000 0.334 0.666 Al
0.000 0.666 0.334 Al
0.334 0.000 0.666 Al
0.334 0.334 0.334 Al
0.666 0.000 0.334 Al
0.666 0.666 0.666 Al
0.333 0.667 0.000 Ag
0.667 0.333 0.000 Ag
```

Calculated density in g cm⁻³: 4.6
Calculated formation energy in eV/atom: -0.03

Entry 20:
VASP calculation (meta-GGA SCAN) on NaCu2Si2 at its PBEsol-relaxed geometry.

```
NaCu2Si2
1.0
-1.997 1.997 4.868
1.997 -1.997 4.868
1.997 1.997 -4.868
Na Cu Si
1 2 2
Direct
0.000 0.000 0.000 Na
0.250 0.750 0.500 Cu
0.750 0.250 0.500 Cu
0.379 0.379 0.000 Si
0.621 0.621 0.000 Si
```

Calculated density in g cm⁻³: 4.4
Energy above the lowest structure with this stoichiometry in eV per atom: 0.0000
E_form (uncorrected) in eV/f.u.: -0.14

| no. | M_tot (μB/f.u.) |
| --- | --- |
| 1 | 9.508 |
| 2 | 0.000 |
| 3 | 0.000 |
| 4 | 0.322 |
| 5 | 1.274 |
| 6 | 0.002 |
| 7 | 0.021 |
| 8 | 0.000 |
| 9 | 0.000 |
| 10 | 0.010 |
| 11 | 2.037 |
| 12 | 4.531 |
| 13 | 0.438 |
| 14 | 0.001 |
| 15 | 0.001 |
| 16 | 0.000 |
| 17 | 0.000 |
| 18 | 0.002 |
| 19 | 0.000 |
| 20 | 0.000 |